(1)
The following is a DFT calculation (PBE-GGA) of an optimized crystal structure of Tm5Th3As8.

Space-group type: R-3m (166)
DFT total energy, eV per formula unit: -105.21
E_form, eV per atom: -1.462

abc: 8.2646 8.2646 8.2646
angles: 60.21 60.21 60.21
Atoms (fractional coordinates):
Tm: 0.0000 0.0000 0.0000
Tm: 0.0000 0.5000 0.5000
Tm: 0.5000 0.0000 0.5000
Tm: 0.5000 0.5000 0.0000
Tm: 0.5000 0.5000 0.5000
Th: 0.0000 0.0000 0.5000
Th: 0.0000 0.5000 0.0000
Th: 0.5000 0.0000 0.0000
As: 0.2500 0.2500 0.7422
As: 0.2500 0.7422 0.2500
As: 0.2543 0.2543 0.2543
As: 0.2578 0.7500 0.7500
As: 0.7422 0.2500 0.2500
As: 0.7457 0.7457 0.7457
As: 0.7500 0.2578 0.7500
As: 0.7500 0.7500 0.2578

---

(2)
The following is a DFT calculation (PBE-GGA) of an optimized crystal structure of TmTh5As6.

Space-group type: C2/m (12)
DFT total energy, eV per formula unit: -86.33
E_form, eV per atom: -1.405

abc: 7.3193 7.3193 7.3186
angles: 99.62 99.62 120.03
Atoms (fractional coordinates):
Tm: 0.0000 0.0000 0.0000
Th: 0.1683 0.8317 0.5000
Th: 0.3341 0.6659 0.0000
Th: 0.5000 0.5000 0.5000
Th: 0.6659 0.3341 0.0000
Th: 0.8317 0.1683 0.5000
As: 0.0812 0.4076 0.2447
As: 0.2434 0.2434 0.7529
As: 0.4076 0.0812 0.2447
As: 0.5924 0.9188 0.7553
As: 0.7566 0.7566 0.2471
As: 0.9188 0.5924 0.7553

---

(3)
The following is a DFT calculation (PBE-GGA) of an optimized crystal structure of Tm2ThAs.

Space-group type: R-3m (166)
DFT total energy, eV per formula unit: -23.26
E_form, eV per atom: -0.561

abc: 9.4506 9.4506 9.4506
angles: 23.07 23.07 23.07
Atoms (fractional coordinates):
Tm: 0.2296 0.2296 0.2296
Tm: 0.7704 0.7704 0.7704
Th: 0.0000 0.0000 0.0000
As: 0.5000 0.5000 0.5000

---

(4)
The following is a DFT calculation (PBE-GGA) of an optimized crystal structure of YTm3Th2As6.

Space-group type: C2/m (12)
DFT total energy, eV per formula unit: -80.36
E_form, eV per atom: -1.479

abc: 9.2489 9.2489 8.2622
angles: 102.70 102.70 25.94
Atoms (fractional coordinates):
Y: 0.0000 0.0000 0.0000
Tm: 0.0000 0.0000 0.5000
Tm: 0.3338 0.3338 0.1660
Tm: 0.6662 0.6662 0.8340
Th: 0.3351 0.3351 0.6698
Th: 0.6649 0.6649 0.3302
As: 0.1643 0.1643 0.5897
As: 0.1674 0.1674 0.0751
As: 0.4971 0.4971 0.2515
As: 0.5029 0.5029 0.7485
As: 0.8326 0.8326 0.9249
As: 0.8357 0.8357 0.4103

---

(5)
The following is a DFT calculation (PBE-GGA) of an optimized crystal structure of Tm2ThZrAs4.

Space-group type: P2/m (10)
DFT total energy, eV per formula unit: -54.27
E_form, eV per atom: -1.345

abc: 7.0361 4.0668 7.0502
angles: 90.00 109.42 90.00
Atoms (fractional coordinates):
Tm: 0.0000 0.0000 0.0000
Tm: 0.5000 0.5000 0.0000
Th: 0.0000 0.5000 0.5000
Zr: 0.5000 0.0000 0.5000
As: 0.2612 0.5000 0.2524
As: 0.2633 0.0000 0.7561
As: 0.7367 0.0000 0.2439
As: 0.7388 0.5000 0.7476

---

(6)
The following is a DFT calculation (PBE-GGA) of an optimized crystal structure of ThU5As6.

Space-group type: C2/m (12)
DFT total energy, eV per formula unit: -101.63
E_form, eV per atom: -0.823

abc: 7.1379 7.1379 7.1394
angles: 99.62 99.62 120.13
Atoms (fractional coordinates):
Th: 0.0000 0.0000 0.0000
U: 0.1645 0.8355 0.5000
U: 0.3328 0.6672 0.0000
U: 0.5000 0.5000 0.5000
U: 0.6672 0.3328 0.0000
U: 0.8355 0.1645 0.5000
As: 0.0852 0.4249 0.2547
As: 0.2560 0.2560 0.7476
As: 0.4249 0.0852 0.2547
As: 0.5751 0.9148 0.7453
As: 0.7440 0.7440 0.2524
As: 0.9148 0.5751 0.7453

---

(7)
The following is a DFT calculation (PBE-GGA) of an optimized crystal structure of ThU2As4.

Space-group type: Cmcm (63)
DFT total energy, eV per formula unit: -53.71
E_form, eV per atom: -0.731

abc: 7.0190 7.0190 13.3719
angles: 90.00 90.00 146.34
Atoms (fractional coordinates):
Th: 0.1113 0.8887 0.7500
Th: 0.8887 0.1113 0.2500
U: 0.3649 0.6351 0.5624
U: 0.3649 0.6351 0.9376
U: 0.6351 0.3649 0.0624
U: 0.6351 0.3649 0.4376
As: 0.0000 0.0000 0.0000
As: 0.0000 0.0000 0.5000
As: 0.2696 0.7304 0.1276
As: 0.2696 0.7304 0.3724
As: 0.4516 0.5484 0.7500
As: 0.5484 0.4516 0.2500
As: 0.7304 0.2696 0.6276
As: 0.7304 0.2696 0.8724

---

(8)
The following is a DFT calculation (PBE-GGA) of an optimized crystal structure of ThU3As4.

Space-group type: Cmmm (65)
DFT total energy, eV per formula unit: -66.94
E_form, eV per atom: -0.882

abc: 7.1877 7.1877 4.0839
angles: 90.00 90.00 108.81
Atoms (fractional coordinates):
Th: 0.0000 0.0000 0.0000
U: 0.0000 0.5000 0.5000
U: 0.5000 0.0000 0.5000
U: 0.5000 0.5000 0.0000
As: 0.2539 0.7461 0.0000
As: 0.2583 0.2583 0.5000
As: 0.7417 0.7417 0.5000
As: 0.7461 0.2539 0.0000

---

(9)
The following is a DFT calculation (PBE-GGA) of an optimized crystal structure of ThUAs2.

Space-group type: R-3m (166)
DFT total energy, eV per formula unit: -32.23
E_form, eV per atom: -1.055

abc: 7.3235 7.3235 7.3235
angles: 32.83 32.83 32.83
Atoms (fractional coordinates):
Th: 0.0000 0.0000 0.0000
U: 0.5000 0.5000 0.5000
As: 0.2461 0.2461 0.2461
As: 0.7539 0.7539 0.7539

---

(10)
The following is a DFT calculation (PBE-GGA) of an optimized crystal structure of Th5U3As8.

Space-group type: R-3m (166)
DFT total energy, eV per formula unit: -126.29
E_form, eV per atom: -1.133

abc: 8.4231 8.4231 8.4231
angles: 59.49 59.49 59.49
Atoms (fractional coordinates):
Th: 0.0000 0.0000 0.0000
Th: 0.0000 0.5000 0.5000
Th: 0.5000 0.0000 0.5000
Th: 0.5000 0.5000 0.0000
Th: 0.5000 0.5000 0.5000
U: 0.0000 0.0000 0.5000
U: 0.0000 0.5000 0.0000
U: 0.5000 0.0000 0.0000
As: 0.2419 0.7500 0.7500
As: 0.2463 0.2463 0.2463
As: 0.2500 0.2500 0.7581
As: 0.2500 0.7581 0.2500
As: 0.7500 0.2419 0.7500
As: 0.7500 0.7500 0.2419
As: 0.7537 0.7537 0.7537
As: 0.7581 0.2500 0.2500

---

(11)
The following is a DFT calculation (PBE-GGA) of an optimized crystal structure of Th4UAs5.

Space-group type: I4/m (87)
DFT total energy, eV per formula unit: -76.72
E_form, eV per atom: -1.251

abc: 7.3154 7.3154 7.3154
angles: 99.60 99.60 131.78
Atoms (fractional coordinates):
Th: 0.0971 0.6997 0.7968
Th: 0.3003 0.0971 0.3974
Th: 0.6997 0.9029 0.6026
Th: 0.9029 0.3003 0.2032
U: 0.5000 0.5000 0.0000
As: 0.0000 0.0000 0.0000
As: 0.2065 0.4011 0.6077
As: 0.4011 0.7935 0.1946
As: 0.5989 0.2065 0.8054
As: 0.7935 0.5989 0.3923

---

(12)
The following is a DFT calculation (PBE-GGA) of an optimized crystal structure of ThU2As3.

Space-group type: I4/mmm (139)
DFT total energy, eV per formula unit: -49.51
E_form, eV per atom: -0.927

abc: 9.2708 9.2708 9.2708
angles: 154.09 154.09 36.96
Atoms (fractional coordinates):
Th: 0.0000 0.0000 0.0000
U: 0.3330 0.3330 0.0000
U: 0.6670 0.6670 0.0000
As: 0.1695 0.1695 0.0000
As: 0.5000 0.5000 0.0000
As: 0.8305 0.8305 0.0000

---

(13)
The following is a DFT calculation (PBE-GGA) of an optimized crystal structure of Y3Th2UAs6.

Space-group type: C2/m (12)
DFT total energy, eV per formula unit: -89.75
E_form, eV per atom: -1.361

abc: 9.3177 9.3177 8.3352
angles: 102.96 102.96 25.82
Atoms (fractional coordinates):
Y: 0.0000 0.0000 0.0000
Y: 0.3320 0.3320 0.6673
Y: 0.6680 0.6680 0.3327
Th: 0.3351 0.3351 0.1693
Th: 0.6649 0.6649 0.8307
U: 0.0000 0.0000 0.5000
As: 0.1656 0.1656 0.0868
As: 0.1656 0.1656 0.5762
As: 0.4971 0.4971 0.7464
As: 0.5029 0.5029 0.2536
As: 0.8344 0.8344 0.4238
As: 0.8344 0.8344 0.9132

---

(14)
The following is a DFT calculation (PBE-GGA) of an optimized crystal structure of YTh2UAs4.

Space-group type: P2/m (10)
DFT total energy, eV per formula unit: -61.28
E_form, eV per atom: -1.262

abc: 7.2237 4.1734 7.2686
angles: 90.00 109.32 90.00
Atoms (fractional coordinates):
Y: 0.0000 0.0000 0.0000
Th: 0.5000 0.0000 0.5000
Th: 0.5000 0.5000 0.0000
U: 0.0000 0.5000 0.5000
As: 0.2389 0.0000 0.7455
As: 0.2403 0.5000 0.2486
As: 0.7597 0.5000 0.7514
As: 0.7611 0.0000 0.2545

---

(15)
The following is a DFT calculation (PBE-GGA) of an optimized crystal structure of Th2VAs.

Space-group type: R-3m (166)
DFT total energy, eV per formula unit: -27.55
E_form, eV per atom: 0.264

abc: 9.8280 9.8280 9.8280
angles: 21.58 21.58 21.58
Atoms (fractional coordinates):
Th: 0.0967 0.0967 0.0967
Th: 0.9033 0.9033 0.9033
V: 0.0000 0.0000 0.0000
As: 0.5000 0.5000 0.5000

---

(16)
The following is a DFT calculation (PBE-GGA) of an optimized crystal structure of ThVAs3.

Space-group type: Pbcm (57)
DFT total energy, eV per formula unit: -34.30
E_form, eV per atom: -0.764

abc: 12.4503 5.7987 5.6989
angles: 90.00 90.00 90.00
Atoms (fractional coordinates):
Th: 0.1890 0.0032 0.2500
Th: 0.1890 0.4968 0.7500
Th: 0.8110 0.5032 0.2500
Th: 0.8110 0.9968 0.7500
V: 0.4191 0.7500 0.0000
V: 0.4191 0.7500 0.5000
V: 0.5809 0.2500 0.0000
V: 0.5809 0.2500 0.5000
As: 0.0010 0.7500 0.0000
As: 0.0010 0.7500 0.5000
As: 0.2803 0.5107 0.2500
As: 0.2803 0.9893 0.7500
As: 0.4295 0.1045 0.2500
As: 0.4295 0.3955 0.7500
As: 0.5705 0.6045 0.2500
As: 0.5705 0.8955 0.7500
As: 0.7197 0.0107 0.2500
As: 0.7197 0.4893 0.7500
As: 0.9990 0.2500 0.0000
As: 0.9990 0.2500 0.5000

---

(17)
The following is a DFT calculation (PBE-GGA) of an optimized crystal structure of ThAs2W.

Space-group type: R-3m (166)
DFT total energy, eV per formula unit: -29.40
E_form, eV per atom: 0.069

abc: 9.9992 9.9992 9.9992
angles: 18.70 18.70 18.70
Atoms (fractional coordinates):
Th: 0.0000 0.0000 0.0000
As: 0.1057 0.1057 0.1057
As: 0.8943 0.8943 0.8943
W: 0.5000 0.5000 0.5000

---

(18)
The following is a DFT calculation (PBE-GGA) of an optimized crystal structure of YTh2As3.

Space-group type: Immm (71)
DFT total energy, eV per formula unit: -43.95
E_form, eV per atom: -1.450

abc: 7.3040 7.3040 7.3040
angles: 146.50 131.81 59.97
Atoms (fractional coordinates):
Y: 0.0000 0.0000 0.0000
Th: 0.3332 0.3332 0.0000
Th: 0.6668 0.6668 0.0000
As: 0.1629 0.6629 0.5000
As: 0.5000 0.0000 0.5000
As: 0.8371 0.3371 0.5000

---

(19)
The following is a DFT calculation (PBE-GGA) of an optimized crystal structure of Y4ThAs5.

Space-group type: Immm (71)
DFT total energy, eV per formula unit: -71.85
E_form, eV per atom: -1.532

abc: 10.9781 10.9781 10.9781
angles: 158.16 148.92 38.31
Atoms (fractional coordinates):
Y: 0.1023 0.1023 0.0000
Y: 0.2974 0.2974 0.0000
Y: 0.7026 0.7026 0.0000
Y: 0.8977 0.8977 0.0000
Th: 0.5000 0.5000 0.0000
As: 0.0000 0.5000 0.5000
As: 0.1998 0.6998 0.5000
As: 0.3977 0.8977 0.5000
As: 0.6023 0.1023 0.5000
As: 0.8002 0.3002 0.5000

---

(20)
The following is a DFT calculation (PBE-GGA) of an optimized crystal structure of YTh2As3.

Space-group type: I4/mmm (139)
DFT total energy, eV per formula unit: -43.94
E_form, eV per atom: -1.449

abc: 9.4173 9.4173 9.4173
angles: 154.10 154.10 36.96
Atoms (fractional coordinates):
Y: 0.0000 0.0000 0.0000
Th: 0.3344 0.3344 0.0000
Th: 0.6656 0.6656 0.0000
As: 0.1641 0.1641 0.0000
As: 0.5000 0.5000 0.0000
As: 0.8359 0.8359 0.0000